Here is a relaxed structure of Li2VNiP2O8 from Alexandria via LeMat-Bulk. Energies are from GGA+U.

Cell lengths 4.7504, 6.0183, 10.3350 Å; angles 90.00, 90.03, 90.00 degrees
Fractional coordinates of all 28 atoms:
Li  0.0000  0.0000  0.0000
Li  0.0000  0.5000  0.0000
Li  0.5000  0.0000  0.5000
Li  0.5000  0.5000  0.5000
V  0.0168  0.2500  0.2730
V  0.9832  0.7500  0.7270
Ni  0.4804  0.2500  0.7777
Ni  0.5196  0.7500  0.2223
P  0.0909  0.7500  0.4035
P  0.4194  0.7500  0.9111
P  0.5806  0.2500  0.0889
P  0.9091  0.2500  0.5965
O  0.2043  0.7500  0.5443
O  0.2324  0.2500  0.6048
O  0.2337  0.5463  0.3343
O  0.2337  0.9537  0.3343
O  0.2578  0.2500  0.0918
O  0.2837  0.5440  0.8398
O  0.2837  0.9560  0.8398
O  0.2959  0.7500  0.0504
O  0.7041  0.2500  0.9496
O  0.7163  0.0440  0.1602
O  0.7163  0.4560  0.1602
O  0.7422  0.7500  0.9082
O  0.7663  0.0463  0.6657
O  0.7663  0.4537  0.6657
O  0.7676  0.7500  0.3952
O  0.7957  0.2500  0.4557

Calculated values
Total DFT energy (no corrections) in eV/atom: -6.714
Theoretical density in g/cm³: 3.523
Crystal system: monoclinic